# 1
The following is a DFT calculation (PBEsol) of a relaxed SiSbRh2 crystal.

The uncorrected energy is -27.54 eV per formula unit. The calculation puts the uncorrected formation energy at -240 meV per atom.

The space group is P4/mmm (No. 123) and the conventional cell measures 4.339, 4.339 and 3.213 Å, with angles of 90.00, 90.00 and 90.00 degrees. The distinct sites, in fractional coordinates, are Si at (0.000, 0.000, 0.000), Sb at (0.500, 0.500, 0.000) and Rh at (0.000, 0.500, 0.500).

# 2
The following is a DFT calculation (PBEsol) of a relaxed ReNiAsBr2 crystal.

The uncorrected energy is -22.45 eV per formula unit. The calculation puts the uncorrected formation energy at 1178 meV per atom.

The space group is P4/mmm (No. 123) and the conventional cell measures 5.055, 5.055 and 4.693 Å, with angles of 90.00, 90.00 and 90.00 degrees. The distinct sites, in fractional coordinates, are Re at (0.000, 0.000, 0.000), Ni at (0.500, 0.500, 0.500), As at (0.000, 0.000, 0.500) and Br at (0.000, 0.500, 0.000).

# 3
The following is a DFT calculation (PBEsol) of a relaxed MgZr2Cd crystal.

The uncorrected energy is -21.20 eV per formula unit. The energy of formation comes out at -26 meV/atom.

The space group is Imm2 (No. 44) and the conventional cell measures 3.156, 5.292 and 10.170 Å, with angles of 90.00, 90.00 and 90.00 degrees. The distinct sites, in fractional coordinates, are Mg at (0.000, 0.000, 0.000), Zr at (0.000, 0.000, 0.484), Zr at (0.000, 0.500, 0.235) and Cd at (0.000, 0.500, 0.730).

# 4
The following is a DFT calculation (PBEsol) of a relaxed BeAl2 crystal.

The uncorrected energy is -11.91 eV per formula unit. The energy of formation comes out at 93 meV/atom.

The space group is Fm-3m (No. 225) and the conventional cell measures 5.622, 5.622 and 5.622 Å, with angles of 90.00, 90.00 and 90.00 degrees. The distinct sites, in fractional coordinates, are Be at (0.000, 0.000, 0.000) and Al at (0.250, 0.250, 0.250).